[1]
## IrWCl2 (meta-GGA SCAN)

Data for IrWCl2 at its PBEsol-relaxed geometry. Values from VASP.

Summary:
DOS(E_F)	0.75	states/eV per atom
E_tot	-153.11	eV/cell
polymorph energy (0 for the lowest one)	0.8255	eV per atom
total magnetization	1.114	μB per cell

Cell and atoms, written as Quantum ESPRESSO input:
```
&SYSTEM
  ibrav = 0, nat = 4, ntyp = 3
/
ATOMIC_SPECIES
Ir 192.22 Ir.upf
W 183.84 W.upf
Cl 35.45 Cl.upf
ATOMIC_POSITIONS crystal
Ir 0.5000 0.5000 0.0000
W 0.0000 0.5000 0.5000
Cl 0.0000 0.0000 0.0000
Cl 0.5000 0.0000 0.5000
CELL_PARAMETERS angstrom
2.7938 0.0000 0.0000
0.0000 4.2695 0.0000
0.0000 0.0000 5.1533
```


[2]
## TcPt2W (meta-GGA SCAN)

Data for TcPt2W at its PBEsol-relaxed geometry. Values from VASP.

Summary:
DOS(E_F)	0.96	states/eV per atom
E_tot	-245.88	eV/cell
polymorph energy (0 for the lowest one)	0.1138	eV per atom
total magnetization	0.000	μB per cell

Cell and atoms, written as Quantum ESPRESSO input:
```
&SYSTEM
  ibrav = 0, nat = 4, ntyp = 3
/
ATOMIC_SPECIES
Pt 195.08 Pt.upf
Tc 98.00 Tc.upf
W 183.84 W.upf
ATOMIC_POSITIONS crystal
Pt 0.0000 0.0000 0.7524
Pt 0.0000 0.0000 0.2476
Tc 0.5000 0.5000 0.0000
W 0.5000 0.5000 0.5000
CELL_PARAMETERS angstrom
2.6951 0.0000 0.0000
0.0000 2.6951 0.0000
0.0000 0.0000 8.1011
```


[3]
## ZrCrIr2 (meta-GGA SCAN)

Data for ZrCrIr2 at its PBEsol-relaxed geometry. Values from VASP.

Summary:
DOS(E_F)	1.15	states/eV per atom
E_tot	-193.67	eV/cell
polymorph energy (0 for the lowest one)	0.1840	eV per atom
total magnetization	4.104	μB per cell

Cell and atoms, written as Quantum ESPRESSO input:
```
&SYSTEM
  ibrav = 0, nat = 4, ntyp = 3
/
ATOMIC_SPECIES
Cr 52.00 Cr.upf
Ir 192.22 Ir.upf
Zr 91.22 Zr.upf
ATOMIC_POSITIONS crystal
Cr 0.0000 0.0000 0.0000
Ir 0.2500 0.2500 0.2500
Ir 0.7500 0.7500 0.7500
Zr 0.5000 0.5000 0.5000
CELL_PARAMETERS angstrom
-0.6137 -3.2941 2.9396
2.6307 -3.5970 -0.1020
2.9799 -0.6746 3.2457
```


- Look up the total magnetization of the first one.
  1.114 μB per cell


- Which value of polymorph energy (0 for the lowest one) does entry 3 give?
  0.1840 eV per atom


- What is the DOS(E_F) in the first record?
  0.75 states/eV per atom